[1]
Crystalline PmSb2F at its relaxed geometry. Source: Alexandria via LeMat-Bulk, functional PBE-GGA.

Values from the calculation:
DOS(E_F) = 0.32 states/eV per atom
Energy relative to the elements, uncorrected = -1.310 eV/atom

abc: 4.1585 4.1585 5.4400
angles: 90.00 90.00 90.00
Fractional positions:
Pm  0.0000  0.0000  0.0000
Sb  0.0000  0.5000  0.5000
Sb  0.5000  0.0000  0.5000
F  0.5000  0.5000  0.0000



[2]
Crystalline Pm2SbF2 at its relaxed geometry. Source: Alexandria via LeMat-Bulk, functional PBE-GGA.

Values from the calculation:
DOS(E_F) = 0.39 states/eV per atom
Energy relative to the elements, uncorrected = -2.575 eV/atom

abc: 7.0297 7.0297 7.0297
angles: 146.75 146.75 47.74
Fractional positions:
Pm  0.1332  0.1332  0.0000
Pm  0.8668  0.8668  0.0000
Sb  0.5000  0.5000  0.0000
F  0.2500  0.7500  0.5000
F  0.7500  0.2500  0.5000



[3]
Crystalline Pm2SbF3 at its relaxed geometry. Source: Alexandria via LeMat-Bulk, functional PBE-GGA.

Values from the calculation:
Energy relative to the elements, uncorrected = -3.027 eV/atom

abc: 7.8916 7.8916 8.0117
angles: 113.75 113.75 30.00
Fractional positions:
Pm  0.0272  0.0272  0.2443
Pm  0.2996  0.2996  0.3052
Pm  0.7004  0.7004  0.6948
Pm  0.9728  0.9728  0.7557
Sb  0.3656  0.3656  0.9540
Sb  0.6344  0.6344  0.0460
F  0.1005  0.1005  0.6597
F  0.1918  0.1918  0.4566
F  0.4387  0.4387  0.5887
F  0.5613  0.5613  0.4113
F  0.8082  0.8082  0.5434
F  0.8995  0.8995  0.3403



[4]
Crystalline Pm4Sb5F at its relaxed geometry. Source: Alexandria via LeMat-Bulk, functional PBE-GGA.

Values from the calculation:
DOS(E_F) = 0.39 states/eV per atom
Energy relative to the elements, uncorrected = -0.965 eV/atom

abc: 8.8343 8.8343 8.1166
angles: 106.71 106.71 29.71
Fractional positions:
Pm  0.0468  0.0468  0.2749
Pm  0.3569  0.3569  0.0418
Pm  0.6431  0.6431  0.9582
Pm  0.9532  0.9532  0.7251
Sb  0.1406  0.1406  0.6690
Sb  0.2155  0.2155  0.2294
Sb  0.5000  0.5000  0.5000
Sb  0.7845  0.7845  0.7706
Sb  0.8594  0.8594  0.3310
F  0.5000  0.5000  0.0000